Density functional theory data (PBE-GGA) for crystalline Nd4Sm2MgSc at its relaxed geometry.

extended XYZ file:
```
8
Lattice="5.044 0.000 0.000 0.000 5.049 0.000 -0.007 0.000 9.981" Properties=species:S:1:pos:R:3 pbc="T T T"
Nd 5.040 0.000 2.480
Nd -0.003 0.000 7.500
Nd 2.518 2.525 2.477
Nd 2.519 2.525 7.504
Sm 0.000 2.525 0.000
Sm 2.518 0.000 4.990
Mg -0.004 2.525 4.990
Sc 2.522 0.000 0.000
```

The calculation puts the calculated volume at 254 Å³/cell. The density of states at the Fermi level comes out at 11.3 states/eV/cell. The value obtained for the formation energy is 0.017 eV/atom.